(1)
First-principles (PBE) data for a relaxed structure of TmHfPO, as listed in the Open Quantum Materials Database.

Space-group type: No. 129
E_tot: -65.5 eV/cell

```
8
Lattice="4.099 0.000 0.000 0.000 4.099 0.000 0.000 0.000 8.337" Properties=species:S:1:pos:R:3 pbc="T T T"
P 2.050 0.000 2.598
P 0.000 2.050 5.740
Hf 0.000 0.000 4.169
Hf 2.050 2.050 4.169
O 2.050 2.050 0.000
O 0.000 0.000 0.000
Tm 0.000 2.050 0.946
Tm 2.050 0.000 7.391
```

***

(2)
First-principles (PBE) data for a relaxed structure of YTlZnCu, as listed in the Open Quantum Materials Database.

Space-group type: No. 216
E_tot: -14.2 eV/cell

```
4
Lattice="4.045 1.672 2.113 0.612 -0.481 4.797 3.305 -3.116 1.728" Properties=species:S:1:pos:R:3 pbc="T T T"
Zn 3.981 -0.963 4.319
Tl 0.000 0.000 0.000
Cu 5.971 -1.444 6.478
Y 1.990 -0.481 2.159
```

***

(3)
First-principles (PBE) data for a relaxed structure of ScZn2Au2, as listed in the Open Quantum Materials Database.

Space-group type: No. 139
E_tot: -17.6 eV/cell
DFT formation energy: -0.452 eV per atom

```
5
Lattice="4.156 -5.607 0.544 -0.897 -6.744 1.650 -2.060 5.608 -3.647" Properties=species:S:1:pos:R:3 pbc="T T T"
Zn -0.664 -3.655 -0.451
Zn 1.863 -3.087 -1.003
Au 1.290 -4.889 0.868
Au 1.969 -7.461 1.325
Sc 0.000 0.000 0.000
```

***

(4)
First-principles (PBE) data for a relaxed structure of Tb2Sn2O7, as listed in the Open Quantum Materials Database.

Space-group type: No. 227
E_tot: -160.7 eV/cell

```
22
Lattice="-0.386 -4.997 5.409 0.088 7.192 1.625 -5.942 -2.988 -3.185" Properties=species:S:1:pos:R:3 pbc="T T T"
O -0.787 0.935 5.473
O -4.030 -4.442 3.148
O -2.055 -0.019 0.197
O -2.220 -2.159 2.513
O -4.019 1.366 1.336
O -0.838 -3.178 4.544
O -5.402 2.385 -0.695
O -0.622 3.075 3.157
O -4.057 -1.713 0.641
O -5.453 -1.728 -1.625
O -2.182 0.921 3.208
O -2.210 3.649 0.700
O -4.185 -0.774 3.652
O -5.618 -3.867 0.691
Tb 0.044 3.596 0.812
Tb -3.164 -3.992 1.112
Tb -2.971 -1.494 -1.592
Tb -2.927 2.102 -0.780
Sn -3.120 -0.396 1.924
Sn 0.000 0.000 0.000
Sn -0.193 -2.499 2.704
Sn -0.149 1.098 3.517
```

***

(5)
First-principles (PBE) data for a relaxed structure of SmBiB4, as listed in the Open Quantum Materials Database.

Space-group type: No. 191
E_tot: -34.5 eV/cell

```
6
Lattice="3.287 0.000 0.000 -1.644 2.847 0.000 0.000 0.000 8.306" Properties=species:S:1:pos:R:3 pbc="T T T"
B 1.644 0.949 6.135
B 0.000 1.898 2.171
B 0.000 1.898 6.135
B 1.644 0.949 2.171
Bi 0.000 0.000 0.000
Sm 0.000 0.000 4.153
```

***

(6)
First-principles (PBE) data for a relaxed structure of NaAg3Se2, as listed in the Open Quantum Materials Database.

Space-group type: No. 12
E_tot: -37.7 eV/cell

```
12
Lattice="8.359 -2.165 0.000 8.359 2.165 0.000 -4.644 0.000 7.500" Properties=species:S:1:pos:R:3 pbc="T T T"
Na -1.055 0.000 5.441
Na 13.129 0.000 2.059
Ag 9.366 0.000 3.290
Ag 12.172 0.000 5.963
Ag 2.708 0.000 4.210
Ag -0.098 0.000 1.537
Ag 9.873 0.000 0.317
Ag 2.201 0.000 7.183
Se 6.840 0.000 2.296
Se 2.669 0.000 1.582
Se 9.404 0.000 5.918
Se 5.234 0.000 5.204
```

***

Q: E_tot of number 6 (NaAg3Se2)?
A: -37.7 eV/cell

***

Q: Which of these has the highest E_tot?
A: YTlZnCu

***

Repeat the second record exactly.
First-principles (PBE) data for a relaxed structure of YTlZnCu, as listed in the Open Quantum Materials Database.

Space-group type: No. 216
E_tot: -14.2 eV/cell

```
4
Lattice="4.045 1.672 2.113 0.612 -0.481 4.797 3.305 -3.116 1.728" Properties=species:S:1:pos:R:3 pbc="T T T"
Zn 3.981 -0.963 4.319
Tl 0.000 0.000 0.000
Cu 5.971 -1.444 6.478
Y 1.990 -0.481 2.159
```